# 1
A relaxed Er2TmCd crystal. Source: Alexandria via LeMat-Bulk, functional PBE.

Cell lengths 4.0084, 5.2696, 5.2696 Å; angles 90.00, 90.00, 90.00 degrees
Sites, in units of the cell vectors:
Er1 0.0000 0.5000 0.0000
Er2 0.0000 0.0000 0.5000
Tm1 0.5000 0.5000 0.5000
Cd1 0.5000 0.0000 0.0000

Output
**E above lowest polymorph**: 88 meV/atom
**Total magnetization**: 0.00 μB per cell
**VASP energy**: -14.7 eV/cell
**SG**: P4/mmm (123)
**V**: 27.827 Å³ per atom

=====

# 2
A relaxed RhPb2Se crystal. Source: Alexandria via LeMat-Bulk, functional PBE.

Cell lengths 5.1274, 5.1300, 3.5107 Å; angles 90.00, 90.00, 90.00 degrees
Sites, in units of the cell vectors:
Se1 0.0000 0.5000 0.5000
Pb1 0.5000 0.5000 0.0000
Pb2 0.0000 0.0000 0.0000
Rh1 0.5000 0.0000 0.5000

Output
**Total magnetization**: 0.00 μB per cell
**VASP energy**: -18.0 eV/cell
**SG**: P4/mmm (123)
**V**: 23.086 Å³ per atom
**Formation energy without anion corrections**: 66 meV/atom

=====

# 3
A relaxed ThSn2Se8 crystal. Source: Alexandria via LeMat-Bulk, functional PBE.

Cell lengths 7.7559, 7.7559, 7.7521 Å; angles 120.02, 120.02, 90.00 degrees
Sites, in units of the cell vectors:
Se1 0.3639 0.8622 0.2262
Se2 0.8623 0.3640 0.2262
Se3 0.6360 0.1377 0.7738
Se4 0.1378 0.6361 0.7738
Se5 0.1377 0.1378 0.7738
Se6 0.8622 0.8623 0.2262
Se7 0.3640 0.3639 0.2262
Se8 0.6361 0.6360 0.7738
Sn1 0.2500 0.7500 0.5000
Sn2 0.7500 0.2500 0.5000
Th1 0.5000 0.5000 0.0000

Output
**Total magnetization**: 0.00 μB per cell
**VASP energy**: -48.9 eV/cell
**SG**: I4/mmm (139)
**V**: 29.961 Å³ per atom
**Formation energy without anion corrections**: -513 meV/atom

=====

# 4
A relaxed Zr2Co crystal. Source: Alexandria via LeMat-Bulk, functional PBE.

Cell lengths 3.3052, 15.9760, 4.2975 Å; angles 90.00, 90.00, 90.00 degrees
Sites, in units of the cell vectors:
Co1 0.0000 0.5466 0.2500
Co2 0.5000 0.0466 0.2500
Co3 0.0000 0.4534 0.7500
Co4 0.5000 0.9534 0.7500
Zr1 0.0000 0.9170 0.2500
Zr2 0.0000 0.7016 0.2500
Zr3 0.5000 0.4170 0.2500
Zr4 0.0000 0.2984 0.7500
Zr5 0.0000 0.0830 0.7500
Zr6 0.5000 0.2016 0.2500
Zr7 0.5000 0.5830 0.7500
Zr8 0.5000 0.7984 0.7500

Output
**Total magnetization**: 0.00 μB per cell
**VASP energy**: -99.0 eV/cell
**SG**: Cmcm (63)
**V**: 18.911 Å³ per atom

=====

# 5
A relaxed Li8MgIn2 crystal. Source: Alexandria via LeMat-Bulk, functional PBE.

Cell lengths 4.7933, 5.4538, 8.4153 Å; angles 89.33, 106.55, 90.00 degrees
Sites, in units of the cell vectors:
Li1 0.1383 0.1608 0.2767
Li2 0.6892 0.9039 0.3784
Li3 0.6003 0.4622 0.2006
Li4 0.3997 0.5378 0.7994
Li5 0.0442 0.7192 0.0884
Li6 0.9558 0.2808 0.9116
Li7 0.3108 0.0961 0.6216
Li8 0.8617 0.8392 0.7233
In1 0.7821 0.3601 0.5642
In2 0.2179 0.6399 0.4358
Mg1 0.5000 0.0000 0.0000

Output
**E above lowest polymorph**: 0 meV/atom
**Total magnetization**: 0.00 μB per cell
**VASP energy**: -24.2 eV/cell
**SG**: C2/m (12)
**V**: 19.170 Å³ per atom

=====

# 6
A relaxed MoRh2 crystal. Source: Alexandria via LeMat-Bulk, functional PBE.

Cell lengths 3.8886, 3.8886, 11.9084 Å; angles 80.60, 80.60, 90.00 degrees
Sites, in units of the cell vectors:
Mo1 0.0835 0.0835 0.8329
Mo2 0.9165 0.9165 0.1671
Mo3 0.6665 0.1665 0.6671
Mo4 0.8335 0.3335 0.3329
Rh1 0.7483 0.7483 0.5034
Rh2 0.1668 0.6668 0.6665
Rh3 0.4983 0.9983 0.0034
Rh4 0.3332 0.8332 0.3335
Rh5 0.4168 0.4168 0.1665
Rh6 0.2517 0.2517 0.4966
Rh7 0.0017 0.5017 0.9966
Rh8 0.5832 0.5832 0.8335

Output
**Total magnetization**: 0.00 μB per cell
**VASP energy**: -104.4 eV/cell
**SG**: I4_1/amd (141)
**V**: 14.600 Å³ per atom

=====

Which value of VASP energy does entry 6 give? -104.4 eV/cell

=====

The lowest V belongs to which entry? MoRh2

=====

What is the VASP energy in the fourth record? -99.0 eV/cell

=====

Among the records above, which one has the highest V? ThSn2Se8